Entry 1:
Crystalline CsAlTeMo2 at its relaxed geometry. Source: the Alexandria database, functional PBE.

abc: 5.595 5.595 6.504
angles: 90.00 90.00 90.00
Space group P4/mmm (No. 123)
Inequivalent atoms, fractional coordinates:
Cs: 0.000 0.000 0.000 (multiplicity 1)
Al: 0.500 0.500 0.500 (multiplicity 1)
Te: 0.000 0.000 0.500 (multiplicity 1)
Mo: 0.000 0.500 0.000 (multiplicity 2)

Output
Raw formation energy in meV per atom: 2786


Entry 2:
Crystalline Mn4VCr at its relaxed geometry. Source: the Alexandria database, functional PBE.

abc: 4.0183 4.0183 4.9560
angles: 90.00 90.00 120.00
Space group P-3m1 (No. 164)
Inequivalent atoms, fractional coordinates:
Mn: 0.3333 0.6667 0.3420 (multiplicity 2)
Mn: 0.3333 0.6667 0.8483 (multiplicity 2)
V: 0.0000 0.0000 0.5000 (multiplicity 1)
Cr: 0.0000 0.0000 0.0000 (multiplicity 1)

Output
Energy of formation from the pure elements in meV per atom: 2
Energy above the lowest structure with this stoichiometry in eV/atom: 0.0000


Entry 3:
Crystalline SmHo3Zn at its relaxed geometry. Source: the Alexandria database, functional PBE.

abc: 11.534 8.431 7.726
angles: 90.00 125.12 90.00
Space group C2/m (No. 12)
Inequivalent atoms, fractional coordinates:
Sm: 0.082 0.000 0.273 (multiplicity 4)
Ho: 0.048 0.500 0.311 (multiplicity 4)
Ho: 0.189 0.201 0.717 (multiplicity 8)
Zn: 0.235 0.000 0.068 (multiplicity 4)

Output
Energy of formation from the pure elements in meV per atom: 59


Entry 4:
Crystalline Sb2PdI at its relaxed geometry. Source: the Alexandria database, functional PBE.

abc: 6.993 6.993 11.648
angles: 90.00 90.00 90.00
Space group I-42d (No. 122)
Inequivalent atoms, fractional coordinates:
Sb: 0.165 0.250 0.125 (multiplicity 8)
Pd: 0.000 0.000 0.000 (multiplicity 4)
I: 0.000 0.000 0.500 (multiplicity 4)

Output
Raw formation energy in meV per atom: 118
Energy above the lowest structure with this stoichiometry in eV/atom: 0.3612


| no. | final energy (eV per cell) |
| --- | --- |
| 1 | -15.47 |
| 2 | -55.41 |
| 3 | -77.72 |
| 4 | -58.07 |